Computed, not measured: an optimized crystal structure of CaPuInSn at the PBE level of DFT.

a = 7.6489 Å, b = 7.6489 Å, c = 7.6489 Å
α = 90.00°, β = 90.00°, γ = 90.00°
Closest atoms and distances in Å follow each position.
Positions (direct):
Ca  0.0000  0.0000  0.0000  4 In 3.31, 4 Sn 3.31
Ca  0.0000  0.5000  0.5000  4 In 3.31, 4 Sn 3.31
Ca  0.5000  0.0000  0.5000  4 In 3.31, 4 Sn 3.31
Ca  0.5000  0.5000  0.0000  4 In 3.31, 4 Sn 3.31
Pu  0.0000  0.0000  0.5000  4 Sn 3.31, 4 In 3.31
Pu  0.0000  0.5000  0.0000  4 Sn 3.31, 4 In 3.31
Pu  0.5000  0.0000  0.0000  4 Sn 3.31, 4 In 3.31
Pu  0.5000  0.5000  0.5000  4 Sn 3.31, 4 In 3.31
In  0.2500  0.2500  0.7500  4 Ca 3.31, 4 Pu 3.31
In  0.2500  0.7500  0.2500  4 Ca 3.31, 4 Pu 3.31
In  0.7500  0.2500  0.2500  4 Ca 3.31, 4 Pu 3.31
In  0.7500  0.7500  0.7500  4 Ca 3.31, 4 Pu 3.31
Sn  0.2500  0.2500  0.2500  4 Ca 3.31, 4 Pu 3.31
Sn  0.2500  0.7500  0.7500  4 Ca 3.31, 4 Pu 3.31
Sn  0.7500  0.2500  0.7500  4 Ca 3.31, 4 Pu 3.31
Sn  0.7500  0.7500  0.2500  4 Ca 3.31, 4 Pu 3.31

Results
Formation energy from the elements ... -0.34 eV/atom
V ... 27.97 Å³/atom
SG ... F-43m, No. 216
Total magnetization ... 5.76 μB/f.u.
Density ... 7.68 g/cm³
Final energy ... -6.107 eV/atom